# 1
## ZrAg2Rh (SCAN)

Data for a crystal of ZrAg2Rh relaxed with PBEsol.

As for the formation energy from the elements: -0.304 eV per atom. For the distance to the lowest polymorph of the same formula, the calculation gives 82 meV per atom. The value obtained for the calculated total energy is -128.4 eV for the cell shown. The spin magnetization comes out at 0.000 μB/atom.

Cell and atoms, written as POSCAR:
```
ZrAg2Rh
1.0
-2.0301 2.0301 4.0010
2.0301 -2.0301 4.0010
2.0301 2.0301 -4.0010
Zr Ag Rh
1 2 1
direct
0.0000 0.0000 0.0000
0.5000 0.5000 0.0000
0.7500 0.2500 0.5000
0.2500 0.7500 0.5000
```

***

# 2
## Zr2AgRh2 (SCAN)

Data for a crystal of Zr2AgRh2 relaxed with PBEsol.

As for the formation energy from the elements: -0.694 eV per atom. The value obtained for the calculated total energy is -327.6 eV for the cell shown. The spin magnetization comes out at 0.000 μB/atom.

Cell and atoms, written as POSCAR:
```
Zr2AgRh2
1.0
7.4208 0.0000 0.0000
0.0000 7.4208 0.0000
0.0000 0.0000 3.1988
Zr Ag Rh
4 2 4
direct
0.1640 0.3360 0.0000
0.3360 0.8360 0.0000
0.6640 0.1640 0.0000
0.8360 0.6640 0.0000
0.0000 0.0000 0.5000
0.5000 0.5000 0.5000
0.1359 0.6359 0.5000
0.3641 0.1359 0.5000
0.6359 0.8641 0.5000
0.8641 0.3641 0.5000
```

***

# 3
## ZrAg2Rh (SCAN)

Data for a crystal of ZrAg2Rh relaxed with PBEsol.

As for the formation energy from the elements: 0.182 eV per atom. For the distance to the lowest polymorph of the same formula, the calculation gives 567 meV per atom. The value obtained for the calculated total energy is -126.5 eV for the cell shown. The spin magnetization comes out at 0.074 μB/atom.

Cell and atoms, written as POSCAR:
```
ZrAg2Rh
1.0
1.4141 0.8164 9.6371
-1.4141 0.8164 9.6371
0.0000 -1.6328 9.6371
Zr Ag Rh
1 2 1
direct
0.0000 0.0000 0.0000
0.2452 0.2452 0.2452
0.7548 0.7548 0.7548
0.5000 0.5000 0.5000
```

***

# 4
## ZrAg2Rh (SCAN)

Data for a crystal of ZrAg2Rh relaxed with PBEsol.

As for the formation energy from the elements: -0.386 eV per atom. For the distance to the lowest polymorph of the same formula, the calculation gives 0 meV per atom. The value obtained for the calculated total energy is -128.7 eV for the cell shown. The spin magnetization comes out at 0.000 μB/atom.

Cell and atoms, written as POSCAR:
```
ZrAg2Rh
1.0
-1.9115 1.9115 4.5032
1.9115 -1.9115 4.5032
1.9115 1.9115 -4.5032
Zr Ag Rh
1 2 1
direct
0.0000 0.0000 0.0000
0.2500 0.7500 0.5000
0.7500 0.2500 0.5000
0.5000 0.5000 0.0000
```

***

Among the records above, which one has the lowest calculated total energy? Zr2AgRh2